Model one:
A relaxed structure of ZrP2Cl, computed with PBEsol.

abc: 6.5102 6.5102 6.5102
angles: 90.00 90.00 90.00
Space group Fm-3m (No. 225)
Symmetry-distinct sites (fractional):
Zr 0.0000 0.0000 0.0000
P 0.2500 0.2500 0.2500
Cl 0.0000 0.0000 0.5000

Model two:
A relaxed structure of ZrP2Cl, computed with PBEsol.

abc: 3.6559 3.7589 9.3260
angles: 90.00 90.00 90.00
Space group Immm (No. 71)
Symmetry-distinct sites (fractional):
Zr 0.0000 0.0000 0.0000
P 0.0000 0.5000 0.2514
Cl 0.0000 0.0000 0.5000

Model three:
A relaxed structure of ZrP2Cl, computed with PBEsol.

abc: 3.5098 3.5098 5.9032
angles: 90.00 90.00 90.00
Space group P4/mmm (No. 123)
Symmetry-distinct sites (fractional):
Zr 0.0000 0.0000 0.0000
P 0.5000 0.5000 0.1876
Cl 0.0000 0.0000 0.5000

Compare the structures above. Which one is the least stable? model one is.